1.
DFT (GGA-PBE) results for a relaxed LaYSi2 crystal.

The structure belongs to space group Pmc2_1 (No. 26); the cell edges are 3.936, 5.887 and 8.204 Å and the angles 90.00°, 90.00° and 90.00°. The asymmetric unit holds La at (0.000, 0.133, 0.000), Y at (0.500, 0.366, 0.639), Si at (0.000, 0.381, 0.356) and Si at (0.500, 0.139, 0.286).

The energy above the most stable polymorph in this dataset comes out at 0 meV per atom. The calculation puts the formation energy (no corrections) at -0.767 eV/atom. The calculation puts the volume at 190 Å³ per cell.

---

2.
DFT (GGA-PBE) results for a relaxed LiSm2B3Pt12 crystal.

The structure belongs to space group R-3m (No. 166, hexagonal axes); the cell edges are 7.9763, 7.9763 and 16.8078 Å and the angles 90.00°, 90.00° and 120.00°. The asymmetric unit holds Li at (0.0000, 0.0000, 0.0000), Sm at (0.0000, 0.0000, 0.3910), B at (0.0000, 0.5000, 0.5000), Pt at (0.0042, 0.5021, 0.6241) and Pt at (0.0562, 0.5281, 0.8536).

The energy relative to the elements comes out at -0.4593 eV per atom. The calculation puts the volume at 926 Å³ per cell.

---

3.
DFT (GGA-PBE) results for a relaxed K3BaPd crystal.

The structure belongs to space group Pm-3m (No. 221); the cell edges are 7.625, 7.625 and 7.625 Å and the angles 90.00°, 90.00° and 90.00°. The asymmetric unit holds K at (0.000, 0.000, 0.500), Ba at (0.000, 0.000, 0.000) and Pd at (0.500, 0.500, 0.500).

The energy above the most stable polymorph in this dataset comes out at 839 meV per atom. The energy relative to the elements comes out at 1.0406 eV per atom. The calculation puts the volume at 443 Å³ per cell.

---

4.
DFT (GGA-PBE) results for a relaxed NiOs3 crystal.

The structure belongs to space group C2/m (No. 12); the cell edges are 8.918, 2.701 and 4.614 Å and the angles 90.00°, 99.87° and 90.00°. The asymmetric unit holds Ni at (0.000, 0.000, 0.000), Os at (0.000, 0.500, 0.500) and Os at (0.247, 0.000, 0.751).

The energy relative to the elements comes out at 0.1737 eV per atom. The calculation puts the volume at 109 Å³ per cell.